Compound: KCd2PbSe
Source: Alexandria
Functional: PBE
Structure: optimized geometry

Cell: 5.8195 5.8195 6.8070 Å, 90.00 90.00 90.00°
Closest atoms and distances in Å follow each position.
Atoms (fractional coordinates):
K  0.0000  0.0000  0.0000  4 Cd 2.91
Cd  0.0000  0.5000  0.0000  2 K 2.91
Cd  0.5000  0.0000  0.0000  2 K 2.91
Pb  0.0000  0.0000  0.5000  2 K 3.40
Se  0.5000  0.5000  0.5000  4 Pb 4.12, 8 Cd 4.48

Final energy, eV per atom: -1.2430
ΔE_f (raw), eV per formula unit: 3.91

Compound: Sm10Sn3Ge3
Source: Alexandria
Functional: PBE
Structure: optimized geometry

Cell: 8.9611 8.9611 6.6828 Å, 90.00 90.00 120.00°
Closest atoms and distances in Å follow each position.
Atoms (fractional coordinates):
Sm  0.0000  0.2404  0.0000  3 Sn 3.10-3.25
Sm  0.0000  0.7578  0.5000  3 Ge 3.06-3.29
Sm  0.2404  0.0000  0.0000  3 Sn 3.10-3.25
Sm  0.2422  0.2422  0.5000  3 Ge 3.06-3.29
Sm  0.3333  0.6667  0.2586  3 Ge 3.20, 2 Sm 3.23-3.46, 3 Sn 3.24
Sm  0.3333  0.6667  0.7414  3 Ge 3.20, 2 Sm 3.23-3.46, 3 Sn 3.24
Sm  0.6667  0.3333  0.2586  3 Ge 3.20, 2 Sm 3.23-3.46, 3 Sn 3.24
Sm  0.6667  0.3333  0.7414  3 Ge 3.20, 2 Sm 3.23-3.46, 3 Sn 3.24
Sm  0.7578  0.0000  0.5000  3 Ge 3.06-3.29
Sm  0.7596  0.7596  0.0000  3 Sn 3.10-3.25
Sn  0.0000  0.6029  0.0000  7 Sm 3.10-3.25
Sn  0.3971  0.3971  0.0000  7 Sm 3.10-3.25
Sn  0.6029  0.0000  0.0000  7 Sm 3.10-3.25
Ge  0.0000  0.3907  0.5000  7 Sm 3.06-3.29
Ge  0.3907  0.0000  0.5000  7 Sm 3.06-3.29
Ge  0.6093  0.6093  0.5000  7 Sm 3.06-3.29

Final energy, eV per atom: -5.2715